Below is a geometry-optimized La5Pm4Er2 structure, with properties calculated at the PBE-GGA level.

```
data_La5Pm4Er2
_chemical_formula_sum 'La10 Pm8 Er4'
_cell_length_a 17.5866
_cell_length_b 3.6434
_cell_length_c 12.0528
_cell_angle_alpha 90.00
_cell_angle_beta 95.45
_cell_angle_gamma 90.00
_symmetry_space_group_name_H-M 'C 1 2/m 1'
_symmetry_Int_Tables_number 12
loop_
_symmetry_equiv_pos_as_xyz
'x,y,z'
'-x,-y,-z'
'-x,y,-z'
'x,-y,z'
'x+1/2,y+1/2,z'
'-x+1/2,-y+1/2,-z'
'-x+1/2,y+1/2,-z'
'x+1/2,-y+1/2,z'
loop_
_atom_site_label
_atom_site_type_symbol
_atom_site_fract_x
_atom_site_fract_y
_atom_site_fract_z
La1 La 0.0000 0.0000 0.0000
La2 La 0.1923 0.5000 0.1028
La3 La 0.2300 0.0000 0.3702
Pm1 Pm 0.0513 0.5000 0.3022
Pm2 Pm 0.1309 0.5000 0.8222
Er1 Er 0.0912 0.0000 0.5669
```



Below is a geometry-optimized LaPm12Er2 structure, with properties calculated at the PBE-GGA level.

```
data_LaPm12Er2
_chemical_formula_sum 'La2 Pm24 Er4'
_cell_length_a 6.5607
_cell_length_b 6.5607
_cell_length_c 25.3533
_cell_angle_alpha 90.00
_cell_angle_beta 90.00
_cell_angle_gamma 90.00
_symmetry_space_group_name_H-M 'P 4/n b m'
_symmetry_Int_Tables_number 125
loop_
_symmetry_equiv_pos_as_xyz
'x,y,z'
'-x,-y,-z'
'-y+1/2,x,z'
'y+1/2,-x,-z'
'-x+1/2,-y+1/2,z'
'x+1/2,y+1/2,-z'
'y,-x+1/2,z'
'-y,x+1/2,-z'
'x,-y+1/2,-z'
'-x,y+1/2,z'
'-y+1/2,-x+1/2,-z'
'y+1/2,x+1/2,z'
'-x+1/2,y,-z'
'x+1/2,-y,z'
'y,x,-z'
'-y,-x,z'
loop_
_atom_site_label
_atom_site_type_symbol
_atom_site_fract_x
_atom_site_fract_y
_atom_site_fract_z
La1 La 0.2500 0.7500 0.0000
Pm1 Pm 0.0005 0.9995 0.1156
Pm2 Pm 0.0821 0.5821 0.4382
Pm3 Pm 0.2500 0.2500 0.2136
Pm4 Pm 0.2500 0.2500 0.3342
Er1 Er 0.2500 0.7500 0.2535
```



Below is a geometry-optimized La4PmEr5 structure, with properties calculated at the PBE-GGA level.

```
data_La4PmEr5
_chemical_formula_sum 'La8 Pm2 Er10'
_cell_length_a 10.7466
_cell_length_b 10.7466
_cell_length_c 5.8373
_cell_angle_alpha 90.00
_cell_angle_beta 90.00
_cell_angle_gamma 90.00
_symmetry_space_group_name_H-M 'P 4/n m m'
_symmetry_Int_Tables_number 129
loop_
_symmetry_equiv_pos_as_xyz
'x,y,z'
'-x,-y,-z'
'-y+1/2,x,z'
'y+1/2,-x,-z'
'-x+1/2,-y+1/2,z'
'x+1/2,y+1/2,-z'
'y,-x+1/2,z'
'-y,x+1/2,-z'
'x+1/2,-y,-z'
'-x+1/2,y,z'
'-y,-x,-z'
'y,x,z'
'-x,y+1/2,-z'
'x,-y+1/2,z'
'y+1/2,x+1/2,-z'
'-y+1/2,-x+1/2,z'
loop_
_atom_site_label
_atom_site_type_symbol
_atom_site_fract_x
_atom_site_fract_y
_atom_site_fract_z
La1 La 0.0442 0.7500 0.1252
Pm1 Pm 0.2500 0.2500 0.8948
Er1 Er 0.0902 0.0902 0.3495
Er2 Er 0.2500 0.7500 0.5000
```



Below is a geometry-optimized La4PmEr8 structure, with properties calculated at the PBE-GGA level.

```
data_La4PmEr8
_chemical_formula_sum 'La12 Pm3 Er24'
_cell_length_a 11.0720
_cell_length_b 11.0720
_cell_length_c 13.4855
_cell_angle_alpha 90.00
_cell_angle_beta 90.00
_cell_angle_gamma 120.00
_symmetry_space_group_name_H-M 'R -3 m'
_symmetry_Int_Tables_number 166
_symmetry_space_group_name_Hall '-R 3 2"'
loop_
_atom_site_label
_atom_site_type_symbol
_atom_site_fract_x
_atom_site_fract_y
_atom_site_fract_z
La1 La 0.0000 0.0000 0.0000
La2 La 0.0000 0.5000 0.0000
Pm1 Pm 0.0000 0.0000 0.5000
Er1 Er 0.0000 0.0000 0.2391
Er2 Er 0.0140 0.5070 0.7454
```



Below is a geometry-optimized La2Pm3Er3 structure, with properties calculated at the PBE-GGA level.

```
data_La2Pm3Er3
_chemical_formula_sum 'La4 Pm6 Er6'
_cell_length_a 5.1215
_cell_length_b 5.1428
_cell_length_c 20.4093
_cell_angle_alpha 90.00
_cell_angle_beta 90.00
_cell_angle_gamma 90.00
_symmetry_space_group_name_H-M 'I m m m'
_symmetry_Int_Tables_number 71
_symmetry_space_group_name_Hall '-I 2 2'
loop_
_atom_site_label
_atom_site_type_symbol
_atom_site_fract_x
_atom_site_fract_y
_atom_site_fract_z
La1 La 0.0000 0.0000 0.2501
Pm1 Pm 0.0000 0.0000 0.0000
Pm2 Pm 0.0000 0.5000 0.1217
Er1 Er 0.0000 0.0000 0.5000
Er2 Er 0.0000 0.5000 0.3779
```



Below is a geometry-optimized La4Pm2Er5 structure, with properties calculated at the PBE-GGA level.

```
data_La4Pm2Er5
_chemical_formula_sum 'La8 Pm4 Er10'
_cell_length_a 24.4270
_cell_length_b 3.5404
_cell_length_c 8.7367
_cell_angle_alpha 90.00
_cell_angle_beta 93.94
_cell_angle_gamma 90.00
_symmetry_space_group_name_H-M 'C 1 2/m 1'
_symmetry_Int_Tables_number 12
loop_
_symmetry_equiv_pos_as_xyz
'x,y,z'
'-x,-y,-z'
'-x,y,-z'
'x,-y,z'
'x+1/2,y+1/2,z'
'-x+1/2,-y+1/2,-z'
'-x+1/2,y+1/2,-z'
'x+1/2,-y+1/2,z'
loop_
_atom_site_label
_atom_site_type_symbol
_atom_site_fract_x
_atom_site_fract_y
_atom_site_fract_z
La1 La 0.0408 0.0000 0.3405
La2 La 0.0900 0.5000 0.6978
Pm1 Pm 0.2260 0.5000 0.8266
Er1 Er 0.0000 0.5000 0.0000
Er2 Er 0.1317 0.0000 0.0507
Er3 Er 0.1882 0.0000 0.4700
```



no.,calculated total energy (eV per atom)
1,-4.78
2,-4.39
3,-4.53
4,-4.14
5,-4.70
6,-4.61